{"formula": "MgCrP2O", "functional": "GGA+U", "state": "relaxed", "lattice_angstrom": [[4.855, 0.000, 0.000], [0.000, 4.855, 0.000], [0.000, 0.000, 3.642]], "species": ["Mg", "Cr", "P", "P", "O"], "fractional_positions": [[0.000, 0.000, 0.000], [0.500, 0.500, 0.500], [0.000, 0.500, 0.000], [0.500, 0.000, 0.000], [0.000, 0.000, 0.500]], "relative_energy_mev_per_atom": 940, "energy_ev_per_atom": -4.142, "volume_a3_per_cell": 86, "n_ef_per_ev_atom": 0.98}